[1]
LiGeSeS | PBE | optimized geometry

Results
For the uncorrected formation energy, the calculation gives -0.64 eV/atom.

Cell: 6.1580 4.7441 6.3420 Å, 90.00 101.38 90.00°
Last column: nearest neighbours and their distance in Å.
Space group Cm (No. 8)
Symmetry-distinct sites (fractional):
Li: 0.0000 0.0000 0.0000 x2  3 S 2.47-2.49
Ge: 0.0242 0.5000 0.5785 x2  1 S 2.20
Se: 0.0997 0.0000 0.4456 x2  3 Ge 2.58-2.59, 1 Li 2.77
S: 0.0905 0.5000 0.9330 x2  1 Ge 2.20


[2]
U6As5S | PBE | optimized geometry

Results
For the uncorrected formation energy, the calculation gives -0.82 eV/atom.

Cell: 6.8978 11.9597 7.2297 Å, 90.00 108.62 90.00°
Last column: nearest neighbours and their distance in Å.
Space group C2/m (No. 12)
Symmetry-distinct sites (fractional):
U: 0.2417 0.0000 0.2517 x4  1 S 2.81, 5 As 2.88-2.93
U: 0.2437 0.1624 0.7447 x8  1 S 2.80, 5 As 2.87-2.90
As: 0.0000 0.1714 0.0000 x4  6 U 2.87-2.90
As: 0.0000 0.3343 0.5000 x4  6 U 2.87-2.88
As: 0.0000 0.5000 0.0000 x2  6 U 2.87-2.93
S: 0.0000 0.0000 0.5000 x2  6 U 2.80-2.81


[3]
BaTc2Rh | PBE | optimized geometry

Results
The energy above the most stable polymorph in this dataset comes out at 278 kJ/mol of formula units. Its calculated formation energy is 1.102 eV per atom.

Cell: 5.4598 10.2854 2.8964 Å, 90.00 109.72 90.00°
Last column: nearest neighbours and their distance in Å.
Space group C2/m (No. 12)
Symmetry-distinct sites (fractional):
Ba: 0.0000 0.0000 0.0000 x2  2 Rh 2.73, 2 Ba 2.90, 4 Tc 3.04
Tc: 0.2500 0.2500 0.5000 x4  4 Tc 2.73-2.90, 2 Ba 3.04, 2 Rh 3.04
Rh: 0.0000 0.5000 0.0000 x2  2 Ba 2.73, 2 Rh 2.90, 4 Tc 3.04


[4]
EuMgZnAu | PBE | optimized geometry

Results
Its calculated formation energy is -0.430 eV per atom.

Cell: 7.0970 7.0970 7.0970 Å, 90.00 90.00 90.00°
Last column: nearest neighbours and their distance in Å.
Space group F-43m (No. 216)
Symmetry-distinct sites (fractional):
Eu: 0.0000 0.0000 0.0000 x4  4 Au 3.07, 4 Zn 3.07
Mg: 0.0000 0.0000 0.5000 x4  4 Zn 3.07, 4 Au 3.07
Zn: 0.2500 0.2500 0.2500 x4  4 Eu 3.07, 4 Mg 3.07
Au: 0.2500 0.2500 0.7500 x4  4 Mg 3.07, 4 Eu 3.07


Number 1: raw total energy -33.4 eV for the cell shown. Number 2: raw total energy -209.9 eV for the cell shown. Number 3: raw total energy -51.2 eV for the cell shown. Number 4: raw total energy -72.6 eV for the cell shown.